Crystalline NaCoSb2 at its relaxed geometry. Source: Alexandria via LeMat-Bulk, functional GGA-PBE.

a = 8.0870 Å, b = 8.0870 Å, c = 6.4323 Å
α = 51.05°, β = 51.05°, γ = 90.00°
Atoms (fractional coordinates):
Sb 0.8750 0.9692 0.7500
Sb 0.0308 0.6250 0.2500
Sb 0.7192 0.1250 0.2500
Sb 0.3750 0.2808 0.7500
Na 0.5000 0.5000 0.0000
Na 0.2500 0.7500 0.5000
Co 0.7500 0.2500 0.5000
Co 0.0000 0.0000 0.0000

## Properties
Formation energy without anion corrections   0.060 eV/atom
DOS at the Fermi energy   3.79 states/eV/cell
Offset from the most stable computed form   203 meV per atom


Crystalline NaCo2SbSe at its relaxed geometry. Source: Alexandria via LeMat-Bulk, functional GGA-PBE.

a = 4.4700 Å, b = 5.1368 Å, c = 4.4700 Å
α = 90.00°, β = 90.00°, γ = 90.00°
Site moments in Bohr magnetons follow the coordinates.
Atoms (fractional coordinates):
Na 0.0000 0.5000 0.0000  0.00
Co 0.0000 0.0000 0.5000  1.18
Co 0.5000 0.0000 0.0000  1.45
Sb 0.5000 0.5000 0.5000  -0.02
Se 0.0000 0.0000 0.0000  0.08

## Properties
Formation energy without anion corrections   0.404 eV/atom
DOS at the Fermi energy   3.94 states/eV/cell